VASP calculation (PBE-GGA) on an optimized crystal structure of ScSbBr2.

```
ScSbBr2
1.0
9.5221 0.0000 0.0000
0.0000 9.5221 0.0000
4.7611 4.7611 2.8936
Sc Sb Br
2 2 4
Direct
0.5000 0.5000 0.0000
0.2500 0.7500 0.5000
0.0000 0.0000 0.0000
0.7500 0.2500 0.5000
0.4870 0.1250 0.2500
0.2630 0.6250 0.2500
0.3750 0.5130 0.7500
0.8750 0.7370 0.7500
```

## Properties
Theoretical density ... 4133 kg/m3
Raw formation energy ... -0.67 eV/atom
Symmetry ... I-42d
Magnetization ... 0.0000 μB/atom